1.
A geometry-optimized CuAsRh3 structure, computed with PBE.

The formation energy from the elements is 1.1300 eV per atom. The relative energy among the computed polymorphs comes out at 2.659 eV per formula unit.

The structure belongs to space group Pm-3m (No. 221); the cell edges are 4.4812, 4.4812 and 4.4812 Å and the angles 90.00°, 90.00° and 90.00°. The distinct sites, in fractional coordinates, are Cu at (0.0000, 0.0000, 0.0000), As at (0.5000, 0.5000, 0.5000) and Rh at (0.0000, 0.0000, 0.5000).

2.
A geometry-optimized Zn13Ag structure, computed with PBE.

The formation energy from the elements is 0.0943 eV per atom.

The structure belongs to space group Fm-3c (No. 226); the cell edges are 12.2124, 12.2124 and 12.2124 Å and the angles 90.00°, 90.00° and 90.00°. The distinct sites, in fractional coordinates, are Zn at (0.0000, 0.0000, 0.0000), Zn at (0.0000, 0.1198, 0.1813) and Ag at (0.2500, 0.2500, 0.2500).

3.
A geometry-optimized La2MgCdC structure, computed with PBE.

The formation energy from the elements is -0.1185 eV per atom.

The structure belongs to space group P4/mmm (No. 123); the cell edges are 5.3398, 5.3398 and 4.4109 Å and the angles 90.00°, 90.00° and 90.00°. The distinct sites, in fractional coordinates, are La at (0.0000, 0.5000, 0.0000), Mg at (0.0000, 0.0000, 0.5000), Cd at (0.5000, 0.5000, 0.5000) and C at (0.0000, 0.0000, 0.0000).

4.
A geometry-optimized Ca2DyCu2S4 structure, computed with PBE.

The calculation puts the uncorrected formation energy at -1337 meV/atom.

The structure belongs to space group C2/m (No. 12); the cell edges are 14.3169, 3.7329 and 7.1556 Å and the angles 90.00°, 112.99° and 90.00°. The distinct sites, in fractional coordinates, are Ca at (0.1344, 0.0000, 0.0802), Dy at (0.0000, 0.0000, 0.5000), Cu at (0.1871, 0.5000, 0.5236), S at (0.0307, 0.5000, 0.2451) and S at (0.2028, 0.0000, 0.7442).

5.
A geometry-optimized LuSbPd4 structure, computed with PBE.

The calculation puts the uncorrected formation energy at -535 meV/atom.

The structure belongs to space group F-43m (No. 216); the cell edges are 7.5963, 7.5963 and 7.5963 Å and the angles 90.00°, 90.00° and 90.00°. The distinct sites, in fractional coordinates, are Lu at (0.0000, 0.0000, 0.0000), Sb at (0.2500, 0.2500, 0.7500) and Pd at (0.1254, 0.1254, 0.3746).

6.
A geometry-optimized AgBi3Ir structure, computed with PBE.

The formation energy from the elements is 0.5854 eV per atom. The relative energy among the computed polymorphs comes out at 0.000 eV per formula unit.

The structure belongs to space group Pm-3m (No. 221); the cell edges are 5.3793, 5.3793 and 5.3793 Å and the angles 90.00°, 90.00° and 90.00°. The distinct sites, in fractional coordinates, are Ag at (0.0000, 0.0000, 0.0000), Bi at (0.0000, 0.5000, 0.5000) and Ir at (0.5000, 0.5000, 0.5000).

| no. | size of the total moment (μB per cell) | raw total energy (eV/atom) |
| --- | --- | --- |
| 1 | 0.0 | -5.03 |
| 2 | 0.0 | -1.29 |
| 3 | 0.0 | -4.44 |
| 4 | 0.0 | -5.04 |
| 5 | 0.0 | -5.44 |
| 6 | 0.0 | -4.09 |